Run P
The following is a PBE-GGA calculation of crystalline CaSeIN2 at its relaxed geometry, from Alexandria via LeMat-Bulk.

Cell and atoms, written as CIF:
```
data_CaSeIN2
_cell_length_a 4.186
_cell_length_b 4.186
_cell_length_c 6.015
_cell_angle_alpha 90.00
_cell_angle_beta 90.00
_cell_angle_gamma 90.00
_space_group_name_H-M_alt 'P 4/m m m'
_space_group_IT_number 123
_space_group_name_Hall '-P 4 2'
loop_
_atom_site_label
_atom_site_fract_x
_atom_site_fract_y
_atom_site_fract_z
Ca1 0.000 0.000 0.000
Se1 0.000 0.000 0.500
I1 0.500 0.500 0.000
N1 0.000 0.500 0.500
```

***

Run Q
The following is a PBE-GGA calculation of crystalline CaSeIN2 at its relaxed geometry, from Alexandria via LeMat-Bulk.

Cell and atoms, written as CIF:
```
data_CaSeIN2
_cell_length_a 4.636
_cell_length_b 4.636
_cell_length_c 6.107
_cell_angle_alpha 90.00
_cell_angle_beta 90.00
_cell_angle_gamma 90.00
_space_group_name_H-M_alt 'P 4/m m m'
_space_group_IT_number 123
_space_group_name_Hall '-P 4 2'
loop_
_atom_site_label
_atom_site_fract_x
_atom_site_fract_y
_atom_site_fract_z
Ca1 0.000 0.000 0.000
Se1 0.000 0.000 0.500
I1 0.500 0.500 0.500
N1 0.000 0.500 0.000
```

***

run P has the most favorable energy; the next structure is 0.359 eV/atom above.

***

Run P
The following is a PBE-GGA calculation of crystalline CaSe2IN at its relaxed geometry, from Alexandria via LeMat-Bulk.

Cell and atoms, written as CIF:
```
data_CaSe2IN
_cell_length_a 5.528
_cell_length_b 5.528
_cell_length_c 4.021
_cell_angle_alpha 90.00
_cell_angle_beta 90.00
_cell_angle_gamma 90.00
_space_group_name_H-M_alt 'P 4/m m m'
_space_group_IT_number 123
_space_group_name_Hall '-P 4 2'
loop_
_atom_site_label
_atom_site_fract_x
_atom_site_fract_y
_atom_site_fract_z
Ca1 0.000 0.000 0.000
Se1 0.000 0.500 0.500
I1 0.500 0.500 0.500
N1 0.500 0.500 0.000
```

***

Run Q
The following is a PBE-GGA calculation of crystalline CaSe2IN at its relaxed geometry, from Alexandria via LeMat-Bulk.

Cell and atoms, written as CIF:
```
data_CaSe2IN
_cell_length_a 5.626
_cell_length_b 5.626
_cell_length_c 4.337
_cell_angle_alpha 90.00
_cell_angle_beta 90.00
_cell_angle_gamma 90.00
_space_group_name_H-M_alt 'P 4/m m m'
_space_group_IT_number 123
_space_group_name_Hall '-P 4 2'
loop_
_atom_site_label
_atom_site_fract_x
_atom_site_fract_y
_atom_site_fract_z
Ca1 0.000 0.000 0.000
Se1 0.000 0.500 0.000
I1 0.500 0.500 0.500
N1 0.000 0.000 0.500
```

***

run P has the most favorable energy; the next structure is 0.495 eV/atom above.

***

Run P
The following is a PBE-GGA calculation of crystalline CaSiI2N at its relaxed geometry, from Alexandria via LeMat-Bulk.

Cell and atoms, written as CIF:
```
data_CaSiI2N
_cell_length_a 5.985
_cell_length_b 5.985
_cell_length_c 3.511
_cell_angle_alpha 90.00
_cell_angle_beta 90.00
_cell_angle_gamma 90.00
_space_group_name_H-M_alt 'P 4/m m m'
_space_group_IT_number 123
_space_group_name_Hall '-P 4 2'
loop_
_atom_site_label
_atom_site_fract_x
_atom_site_fract_y
_atom_site_fract_z
Ca1 0.000 0.000 0.000
Si1 0.500 0.500 0.500
I1 0.000 0.500 0.500
N1 0.500 0.500 0.000
```

***

Run Q
The following is a PBE-GGA calculation of crystalline CaSiI2N at its relaxed geometry, from Alexandria via LeMat-Bulk.

Cell and atoms, written as CIF:
```
data_CaSiI2N
_cell_length_a 6.102
_cell_length_b 6.102
_cell_length_c 4.605
_cell_angle_alpha 90.00
_cell_angle_beta 90.00
_cell_angle_gamma 90.00
_space_group_name_H-M_alt 'P 4/m m m'
_space_group_IT_number 123
_space_group_name_Hall '-P 4 2'
loop_
_atom_site_label
_atom_site_fract_x
_atom_site_fract_y
_atom_site_fract_z
Ca1 0.000 0.000 0.000
Si1 0.500 0.500 0.500
I1 0.000 0.500 0.000
N1 0.000 0.000 0.500
```

***

run P has the most favorable energy; the next structure is 0.814 eV/atom above.

***

Run P
The following is a PBE-GGA calculation of crystalline SrCa2IN at its relaxed geometry, from Alexandria via LeMat-Bulk.

Cell and atoms, written as CIF:
```
data_SrCa2IN
_cell_length_a 4.953
_cell_length_b 4.953
_cell_length_c 5.595
_cell_angle_alpha 90.00
_cell_angle_beta 90.00
_cell_angle_gamma 90.00
_space_group_name_H-M_alt 'P 4/m m m'
_space_group_IT_number 123
_space_group_name_Hall '-P 4 2'
loop_
_atom_site_label
_atom_site_fract_x
_atom_site_fract_y
_atom_site_fract_z
Sr1 0.000 0.000 0.000
Ca1 0.000 0.500 0.500
I1 0.500 0.500 0.000
N1 0.000 0.000 0.500
```

***

Run Q
The following is a PBE-GGA calculation of crystalline SrCa2IN at its relaxed geometry, from Alexandria via LeMat-Bulk.

Cell and atoms, written as CIF:
```
data_SrCa2IN
_cell_length_a 6.788
_cell_length_b 6.788
_cell_length_c 4.425
_cell_angle_alpha 90.00
_cell_angle_beta 90.00
_cell_angle_gamma 90.00
_space_group_name_H-M_alt 'P 4/m m m'
_space_group_IT_number 123
_space_group_name_Hall '-P 4 2'
loop_
_atom_site_label
_atom_site_fract_x
_atom_site_fract_y
_atom_site_fract_z
Sr1 0.000 0.000 0.000
Ca1 0.000 0.500 0.000
I1 0.500 0.500 0.500
N1 0.000 0.000 0.500
```

***

run P has the most favorable energy; the next structure is 1.094 eV/atom above.

***

Run P
The following is a PBE-GGA calculation of crystalline CaTaIN2 at its relaxed geometry, from Alexandria via LeMat-Bulk.

Cell and atoms, written as CIF:
```
data_CaTaIN2
_cell_length_a 4.160
_cell_length_b 4.160
_cell_length_c 5.672
_cell_angle_alpha 90.00
_cell_angle_beta 90.00
_cell_angle_gamma 90.00
_space_group_name_H-M_alt 'P 4/m m m'
_space_group_IT_number 123
_space_group_name_Hall '-P 4 2'
loop_
_atom_site_label
_atom_site_fract_x
_atom_site_fract_y
_atom_site_fract_z
Ca1 0.000 0.000 0.000
Ta1 0.500 0.500 0.500
I1 0.500 0.500 0.000
N1 0.000 0.500 0.500
```

***

Run Q
The following is a PBE-GGA calculation of crystalline CaTaIN2 at its relaxed geometry, from Alexandria via LeMat-Bulk.

Cell and atoms, written as CIF:
```
data_CaTaIN2
_cell_length_a 4.303
_cell_length_b 4.303
_cell_length_c 5.561
_cell_angle_alpha 90.00
_cell_angle_beta 90.00
_cell_angle_gamma 90.00
_space_group_name_H-M_alt 'P 4/m m m'
_space_group_IT_number 123
_space_group_name_Hall '-P 4 2'
loop_
_atom_site_label
_atom_site_fract_x
_atom_site_fract_y
_atom_site_fract_z
Ca1 0.000 0.000 0.000
Ta1 0.500 0.500 0.500
I1 0.000 0.000 0.500
N1 0.000 0.500 0.000
```

***

run P has the most favorable energy; the next structure is 2.128 eV/atom above.

***

Run P
The following is a PBE-GGA calculation of crystalline CaTiIN2 at its relaxed geometry, from Alexandria via LeMat-Bulk.

Cell and atoms, written as CIF:
```
data_CaTiIN2
_cell_length_a 4.110
_cell_length_b 4.110
_cell_length_c 5.489
_cell_angle_alpha 90.00
_cell_angle_beta 90.00
_cell_angle_gamma 90.00
_space_group_name_H-M_alt 'P 4/m m m'
_space_group_IT_number 123
_space_group_name_Hall '-P 4 2'
loop_
_atom_site_label
_atom_site_fract_x
_atom_site_fract_y
_atom_site_fract_z
Ca1 0.000 0.000 0.000
Ti1 0.500 0.500 0.500
I1 0.500 0.500 0.000
N1 0.000 0.500 0.500
```

***

Run Q
The following is a PBE-GGA calculation of crystalline CaTiIN2 at its relaxed geometry, from Alexandria via LeMat-Bulk.

Cell and atoms, written as CIF:
```
data_CaTiIN2
_cell_length_a 4.333
_cell_length_b 4.333
_cell_length_c 5.724
_cell_angle_alpha 90.00
_cell_angle_beta 90.00
_cell_angle_gamma 90.00
_space_group_name_H-M_alt 'P 4/m m m'
_space_group_IT_number 123
_space_group_name_Hall '-P 4 2'
loop_
_atom_site_label
_atom_site_fract_x
_atom_site_fract_y
_atom_site_fract_z
Ca1 0.000 0.000 0.000
Ti1 0.500 0.500 0.500
I1 0.000 0.000 0.500
N1 0.000 0.500 0.000
```

***

run P has the most favorable energy; the next structure is 1.625 eV/atom above.

***

Run P
The following is a PBE-GGA calculation of crystalline CaYIN2 at its relaxed geometry, from Alexandria via LeMat-Bulk.

Cell and atoms, written as CIF:
```
data_CaYIN2
_cell_length_a 4.472
_cell_length_b 4.472
_cell_length_c 5.567
_cell_angle_alpha 90.00
_cell_angle_beta 90.00
_cell_angle_gamma 90.00
_space_group_name_H-M_alt 'P 4/m m m'
_space_group_IT_number 123
_space_group_name_Hall '-P 4 2'
loop_
_atom_site_label
_atom_site_fract_x
_atom_site_fract_y
_atom_site_fract_z
Ca1 0.000 0.000 0.000
Y1 0.500 0.500 0.500
I1 0.000 0.000 0.500
N1 0.000 0.500 0.000
```

***

Run Q
The following is a PBE-GGA calculation of crystalline CaYIN2 at its relaxed geometry, from Alexandria via LeMat-Bulk.

Cell and atoms, written as CIF:
```
data_CaYIN2
_cell_length_a 4.488
_cell_length_b 4.488
_cell_length_c 5.959
_cell_angle_alpha 90.00
_cell_angle_beta 90.00
_cell_angle_gamma 90.00
_space_group_name_H-M_alt 'P 4/m m m'
_space_group_IT_number 123
_space_group_name_Hall '-P 4 2'
loop_
_atom_site_label
_atom_site_fract_x
_atom_site_fract_y
_atom_site_fract_z
Ca1 0.000 0.000 0.000
Y1 0.500 0.500 0.500
I1 0.500 0.500 0.000
N1 0.000 0.500 0.500
```

***

run Q has the most favorable energy; the next structure is 0.669 eV/atom above.